(1)
Here is crystalline PrTmHg at its relaxed geometry from Alexandria via LeMat-Bulk. Energies are from PBE.

## Properties
DFT total energy   -3.39 eV/atom
Energy relative to the lowest polymorph listed for this composition   129 meV per atom
Symmetry   P-6m2
ΔE_f   -0.203 eV/atom
Density   9.47 g/cm³

abc: 3.921 5.134 5.134
angles: 120.00 90.00 90.00
Fractional coordinates of all 3 atoms:
1 Pr 0.667 0.667 0.333
2 Hg 0.166 0.333 0.667
3 Tm 0.167 0.000 0.000

---

(2)
Here is crystalline TaCrSe at its relaxed geometry from Alexandria via LeMat-Bulk. Energies are from PBE.

## Properties
Raw formation energy   0.718 eV/atom
DFT total energy   -7.60 eV/atom
Energy relative to the lowest polymorph listed for this composition   836 meV per atom
Symmetry   F-43m
Density   9.39 g/cm³

abc: 4.272 4.272 4.272
angles: 60.00 60.00 60.00
Fractional coordinates of all 3 atoms:
1 Se 0.500 0.500 0.500
2 Cr 0.000 0.000 0.000
3 Ta 0.750 0.750 0.750

---

(3)
Here is crystalline TbEr10Sc6 at its relaxed geometry from Alexandria via LeMat-Bulk. Energies are from PBE.

## Properties
DFT total energy   -5.05 eV/atom
Symmetry   P-31m
ΔE_f   0.138 eV/atom
Density   7.08 g/cm³

abc: 6.575 9.306 9.306
angles: 120.00 90.00 90.00
Fractional coordinates of all 17 atoms:
1 Er 0.000 0.667 0.333
2 Er 0.000 0.333 0.667
3 Er 0.181 0.282 0.282
4 Er 0.500 0.667 0.333
5 Er 0.181 0.000 0.718
6 Er 0.819 0.000 0.282
7 Er 0.819 0.282 0.000
8 Er 0.819 0.718 0.718
9 Er 0.181 0.718 0.000
10 Er 0.500 0.333 0.667
11 Sc 0.316 0.370 0.000
12 Sc 0.316 0.000 0.370
13 Sc 0.316 0.630 0.630
14 Sc 0.684 0.630 0.000
15 Sc 0.684 0.370 0.370
16 Sc 0.684 0.000 0.630
17 Tb 0.500 0.000 0.000

---

The lowest DFT total energy belongs to which entry? TaCrSe

---

Please write out number 3 again, unchanged.
Here is crystalline TbEr10Sc6 at its relaxed geometry from Alexandria via LeMat-Bulk. Energies are from PBE.

## Properties
DFT total energy   -5.05 eV/atom
Symmetry   P-31m
ΔE_f   0.138 eV/atom
Density   7.08 g/cm³

abc: 6.575 9.306 9.306
angles: 120.00 90.00 90.00
Fractional coordinates of all 17 atoms:
1 Er 0.000 0.667 0.333
2 Er 0.000 0.333 0.667
3 Er 0.181 0.282 0.282
4 Er 0.500 0.667 0.333
5 Er 0.181 0.000 0.718
6 Er 0.819 0.000 0.282
7 Er 0.819 0.282 0.000
8 Er 0.819 0.718 0.718
9 Er 0.181 0.718 0.000
10 Er 0.500 0.333 0.667
11 Sc 0.316 0.370 0.000
12 Sc 0.316 0.000 0.370
13 Sc 0.316 0.630 0.630
14 Sc 0.684 0.630 0.000
15 Sc 0.684 0.370 0.370
16 Sc 0.684 0.000 0.630
17 Tb 0.500 0.000 0.000

---

Which of these has the lowest DFT total energy? TaCrSe

---

Which value of DFT total energy does entry 2 give? -7.60 eV/atom